Below is a relaxed Ga2Co2F crystal, with properties calculated at the GGA+U level.

## Properties
- Relative energy among the computed polymorphs: 0.231 eV/atom
- Total moment: 5.560 μB per cell
- Calculated density: 6.210 Mg/m³
- V: 73.9 Å³/f.u.
- D(E_F): 0.606 states/eV/atom
- Final energy: -3.5769 eV/atom
- Crystal system: tetragonal

abc: 4.908 4.908 6.136
angles: 90.00 90.00 90.00
Fractional positions:
Ga 0.000 0.500 0.250
Ga 0.000 0.500 0.750
Ga 0.500 0.000 0.250
Ga 0.500 0.000 0.750
Co 0.000 0.000 0.180
Co 0.000 0.000 0.820
Co 0.500 0.500 0.320
Co 0.500 0.500 0.680
F 0.000 0.000 0.500
F 0.500 0.500 0.000